## La2TlCl (PBE)

Data for La2TlCl after structural relaxation.

Output
distance to the lowest polymorph of the same formula: 36 meV per atom
raw formation energy: -912 meV/atom

Cell: 3.642 3.642 8.428 Å, 90.00 90.00 90.00°
Space group P4/mmm (No. 123)
One atom of each set of equivalent atoms:
1 La 0.000 0.000 0.245
2 Tl 0.500 0.500 0.500
3 Cl 0.500 0.500 0.000